# AcVO4F, optimized geometry, DFT PBE with a Hubbard U
data_AcVO4F
_symmetry_space_group_name_H-M 'C 1 2/m 1'
_symmetry_Int_Tables_number 12
_symmetry_space_group_name_Hall '-C 2y'
_cell_length_a 10.207
_cell_length_b 7.742
_cell_length_c 6.762
_cell_angle_alpha 90.00
_cell_angle_beta 96.45
_cell_angle_gamma 90.00
loop_
_atom_site_label
_atom_site_fract_x
_atom_site_fract_y
_atom_site_fract_z
Ac1 0.194 0.000 0.103
V1 0.117 0.500 0.284
O1 0.056 0.500 0.750
O2 0.176 0.500 0.537
O3 0.178 0.327 0.160
F1 0.030 0.000 0.809
# * VASP energy: -7.2455 eV/atom